(1)
Entry from the Alexandria database: a relaxed structure of Mn2RuCl (PBEsol).

POSCAR file:
```
Mn2RuCl
1.0
3.5428 0.0000 0.0000
0.0000 3.5428 0.0000
-1.7714 -1.7714 4.5629
Ru Mn Cl
1 2 1
Cartesian
1.7714 1.7714 0.0000
0.0000 0.0000 0.0000
1.7714 0.0000 2.2815
0.0000 1.7714 2.2815
```


(2)
Entry from the Alexandria database: a relaxed structure of ScMnS2Cl (PBEsol).

POSCAR file:
```
ScMnS2Cl
1.0
4.7133 0.0000 0.0000
0.0000 4.9019 0.0000
0.0000 0.0000 4.9019
S Sc Mn Cl
2 1 1 1
Cartesian
0.0000 2.4510 0.0000
0.0000 0.0000 2.4510
0.0000 0.0000 0.0000
2.3567 2.4510 2.4510
2.3567 0.0000 0.0000
```


(3)
Entry from the Alexandria database: a relaxed structure of MnSeS2Cl (PBEsol).

POSCAR file:
```
MnSeS2Cl
1.0
-0.0725 0.4442 4.5039
0.6194 -4.4612 0.4500
4.3623 0.6068 0.0103
Mn Cl Se S
1 1 1 2
Cartesian
0.0000 0.0000 0.0000
2.1811 0.3034 0.0052
2.4546 -1.7051 2.4821
-0.0362 0.2221 2.2520
0.3097 -2.2306 0.2250
```


(4)
Entry from the Alexandria database: a relaxed structure of MnSeS2Cl (PBEsol).

POSCAR file:
```
MnSeS2Cl
1.0
-2.3464 -3.3610 -2.5963
1.5688 -3.2631 2.8063
-3.6900 0.5177 2.6647
S Cl Mn Se
2 1 1 1
Cartesian
-1.8450 0.2588 1.3323
0.7844 -1.6316 1.4032
0.0000 0.0000 0.0000
-1.1732 -1.6805 -1.2982
-2.2338 -3.0532 1.4373
```


| no. | total moment (μB/f.u.) | E_form (uncorrected) (eV per atom) |
| --- | --- | --- |
| 1 | 7.6 | 0.804 |
| 2 | 5.1 | -0.585 |
| 3 | 2.7 | 0.169 |
| 4 | 4.7 | 1.008 |